La2Nb2Ru | GGA-PBE | optimized geometry

## Properties
Calculated total energy: -7.684 eV per atom
Total moment: 0.0 μB per cell
Space-group type: P4/mbm (127)

```
La2Nb2Ru
1.0
6.693 0.000 0.000
0.000 6.693 0.000
0.000 0.000 5.400
Ru La Nb
2 4 4
Direct
0.500 0.500 0.000 Ru
0.000 0.000 0.000 Ru
0.828 0.328 0.500 La
0.172 0.672 0.500 La
0.672 0.828 0.500 La
0.328 0.172 0.500 La
0.354 0.854 0.000 Nb
0.646 0.146 0.000 Nb
0.854 0.646 0.000 Nb
0.146 0.354 0.000 Nb
```